1.
A relaxed structure of Ce5Sn2Rh, computed with GGA-PBE.

Cell lengths 5.441, 16.768, 12.157 Å; angles 90.00, 90.00, 90.00 degrees
Space group Cmcm (No. 63)
Asymmetric unit:
1 Ce 0.000 0.054 0.091 (multiplicity 8)
2 Ce 0.000 0.279 0.051 (multiplicity 8)
3 Ce 0.000 0.313 0.750 (multiplicity 4)
4 Sn 0.000 0.135 0.634 (multiplicity 8)
5 Rh 0.000 0.173 0.250 (multiplicity 4)

* crystal system: orthorhombic
* uncorrected energy: -5.720 eV per atom
* DOS(E_F): 106.0 states/eV per cell
* formation energy: -2.11 kcal/mol of atoms

---

2.
A relaxed structure of GaSbTe2Mo, computed with GGA-PBE.

Cell lengths 5.365, 5.365, 5.158 Å; angles 90.00, 90.00, 90.00 degrees
Space group P4/mmm (No. 123)
Asymmetric unit:
1 Ga 0.000 0.000 0.000 (multiplicity 1)
2 Sb 0.000 0.000 0.500 (multiplicity 1)
3 Te 0.000 0.500 0.000 (multiplicity 2)
4 Mo 0.500 0.500 0.500 (multiplicity 1)

* crystal system: tetragonal
* uncorrected energy: -3.778 eV per atom
* formation energy from raw total energies: 1075 meV/atom
* DOS(E_F): 4.1 states/eV per cell

---

3.
A relaxed structure of Th2Zn7Ag, computed with GGA-PBE.

Cell lengths 4.345, 4.345, 10.245 Å; angles 90.00, 90.00, 90.00 degrees
Space group P-4m2 (No. 115)
Asymmetric unit:
1 Th 0.000 0.500 0.244 (multiplicity 2)
2 Zn 0.000 0.000 0.000 (multiplicity 1)
3 Zn 0.000 0.500 0.639 (multiplicity 2)
4 Zn 0.000 0.500 0.873 (multiplicity 2)
5 Zn 0.500 0.500 0.000 (multiplicity 1)
6 Zn 0.500 0.500 0.500 (multiplicity 1)
7 Ag 0.000 0.000 0.500 (multiplicity 1)

* crystal system: tetragonal
* uncorrected energy: -2.892 eV per atom
* DOS(E_F): 6.6 states/eV per cell
* formation energy: -5.32 kcal/mol of atoms

---

4.
A relaxed structure of Ba3Mg2TaO8, computed with GGA-PBE.

Cell lengths 5.8785, 5.8785, 7.6407 Å; angles 90.00, 90.00, 120.00 degrees
Space group P-3m1 (No. 164)
Asymmetric unit:
1 Ba 0.0000 0.0000 0.0000 (multiplicity 1)
2 Ba 0.3333 0.6667 0.6506 (multiplicity 2)
3 Mg 0.3333 0.6667 0.2318 (multiplicity 2)
4 Ta 0.0000 0.0000 0.5000 (multiplicity 1)
5 O 0.1591 0.3181 0.3434 (multiplicity 6)
6 O 0.3333 0.6667 0.9814 (multiplicity 2)

* crystal system: trigonal
* uncorrected energy: -6.917 eV per atom
* formation energy from raw total energies: -2597 meV/atom
* DOS(E_F): 6.6 states/eV per cell

---

5.
A relaxed structure of YUTlO6, computed with GGA-PBE.

Cell lengths 5.6391, 5.6391, 9.9064 Å; angles 90.00, 90.00, 120.00 degrees
Space group P-31c (No. 163)
Asymmetric unit:
1 Y 0.0000 0.0000 0.0000 (multiplicity 2)
2 U 0.3333 0.6667 0.2500 (multiplicity 2)
3 Tl 0.3333 0.6667 0.7500 (multiplicity 2)
4 O 0.0274 0.3521 0.1316 (multiplicity 12)

* crystal system: trigonal
* uncorrected energy: -8.027 eV per atom
* formation energy from raw total energies: -2486 meV/atom
* DOS(E_F): 0.0 states/eV per cell

---

6.
A relaxed structure of LiAc3Y3Te8, computed with GGA-PBE.

Cell lengths 8.9810, 8.9810, 22.4877 Å; angles 90.00, 90.00, 120.00 degrees
Space group R-3m (No. 166, hexagonal axes)
Asymmetric unit:
1 Li 0.0000 0.0000 0.0000 (multiplicity 3)
2 Ac 0.0000 0.5000 0.5000 (multiplicity 9)
3 Y 0.0000 0.5000 0.0000 (multiplicity 9)
4 Te 0.0000 0.0000 0.2583 (multiplicity 6)
5 Te 0.0042 0.5021 0.2569 (multiplicity 18)

* crystal system: trigonal
* uncorrected energy: -5.322 eV per atom
* formation energy from raw total energies: -1405 meV/atom
* DOS(E_F): 14.4 states/eV per cell